#i
# LiPrRh, relaxed, DFT GGA-PBE
# Crystal system: hexagonal
data_LiPrRh
_symmetry_space_group_name_H-M 'P -6 2 m'
_symmetry_Int_Tables_number 189
_symmetry_space_group_name_Hall 'P -6 -2'
_cell_length_a 7.2409
_cell_length_b 7.2409
_cell_length_c 4.1190
_cell_angle_alpha 90.00
_cell_angle_beta 90.00
_cell_angle_gamma 120.00
loop_
_atom_site_label
_atom_site_type_symbol
_atom_site_fract_x
_atom_site_fract_y
_atom_site_fract_z
Li1 Li 0.0000 0.2318 0.0000
Pr1 Pr 0.0000 0.5913 0.5000
Rh1 Rh 0.0000 0.0000 0.5000
Rh2 Rh 0.3333 0.6667 0.0000

=====

#ii
# LiPrRh, relaxed, DFT GGA-PBE
# Crystal system: hexagonal
data_LiPrRh
_symmetry_space_group_name_H-M 'P -6 m 2'
_symmetry_Int_Tables_number 187
_symmetry_space_group_name_Hall 'P -6 2'
_cell_length_a 4.4014
_cell_length_b 4.4014
_cell_length_c 3.7022
_cell_angle_alpha 90.00
_cell_angle_beta 90.00
_cell_angle_gamma 120.00
loop_
_atom_site_label
_atom_site_type_symbol
_atom_site_fract_x
_atom_site_fract_y
_atom_site_fract_z
Li1 Li 0.0000 0.0000 0.0000
Pr1 Pr 0.3333 0.6667 0.5000
Rh1 Rh 0.6667 0.3333 0.0000

=====

Tell me which of them is the least stable. Sure, it is #ii.

=====

#i
# LiPrSb2, relaxed, DFT GGA-PBE
# Crystal system: trigonal
data_LiPrSb2
_symmetry_space_group_name_H-M 'R -3 m'
_symmetry_Int_Tables_number 166
_symmetry_space_group_name_Hall '-R 3 2"'
_cell_length_a 4.9567
_cell_length_b 4.9567
_cell_length_c 15.2029
_cell_angle_alpha 90.00
_cell_angle_beta 90.00
_cell_angle_gamma 120.00
loop_
_atom_site_label
_atom_site_type_symbol
_atom_site_fract_x
_atom_site_fract_y
_atom_site_fract_z
Li1 Li 0.0000 0.0000 0.0000
Pr1 Pr 0.0000 0.0000 0.5000
Sb1 Sb 0.0000 0.0000 0.2666

=====

#ii
# LiPrSb2, relaxed, DFT GGA-PBE
# Crystal system: tetragonal
data_LiPrSb2
_symmetry_space_group_name_H-M 'P 4/m m m'
_symmetry_Int_Tables_number 123
_symmetry_space_group_name_Hall '-P 4 2'
_cell_length_a 4.919
_cell_length_b 4.919
_cell_length_c 4.364
_cell_angle_alpha 90.00
_cell_angle_beta 90.00
_cell_angle_gamma 90.00
loop_
_atom_site_label
_atom_site_type_symbol
_atom_site_fract_x
_atom_site_fract_y
_atom_site_fract_z
Li1 Li 0.000 0.000 0.000
Pr1 Pr 0.500 0.500 0.000
Sb1 Sb 0.000 0.500 0.500

=====

Tell me which of them is the least stable. Sure, it is #i.

=====

#i
# LiPrSb, relaxed, DFT GGA-PBE
# Crystal system: tetragonal
data_LiPrSb
_symmetry_space_group_name_H-M 'I 4 m m'
_symmetry_Int_Tables_number 107
_symmetry_space_group_name_Hall 'I 4 -2'
_cell_length_a 4.281
_cell_length_b 4.281
_cell_length_c 8.930
_cell_angle_alpha 90.00
_cell_angle_beta 90.00
_cell_angle_gamma 90.00
loop_
_atom_site_label
_atom_site_type_symbol
_atom_site_fract_x
_atom_site_fract_y
_atom_site_fract_z
Li1 Li 0.000 0.000 0.000
Pr1 Pr 0.000 0.000 0.338
Sb1 Sb 0.000 0.000 0.691

=====

#ii
# LiPrSb, relaxed, DFT GGA-PBE
# Crystal system: cubic
data_LiPrSb
_symmetry_space_group_name_H-M 'F -4 3 m'
_symmetry_Int_Tables_number 216
_symmetry_space_group_name_Hall 'F -4 2 3'
_cell_length_a 6.708
_cell_length_b 6.708
_cell_length_c 6.708
_cell_angle_alpha 90.00
_cell_angle_beta 90.00
_cell_angle_gamma 90.00
loop_
_atom_site_label
_atom_site_type_symbol
_atom_site_fract_x
_atom_site_fract_y
_atom_site_fract_z
Li1 Li 0.000 0.000 0.000
Pr1 Pr 0.250 0.250 0.250
Sb1 Sb 0.250 0.250 0.750

=====

Tell me which of them is the least stable. Sure, it is #i.